The following is a PBE-GGA calculation of crystalline Cd2CoH6Ir at its relaxed geometry, from Alexandria.

Results
**Electronic total energy**: -3.65 eV per atom

Cell lengths 4.943, 4.943, 4.812 Å; angles 118.85, 118.85, 89.84 degrees
Element x y z (fractional)
Cd (0.244, 0.756, 0.000)
Cd (0.756, 0.244, 0.000)
Co (0.000, 0.000, 0.500)
H (0.243, 0.757, 0.500)
H (0.247, 0.247, 0.987)
H (0.248, 0.248, 0.509)
H (0.752, 0.752, 0.491)
H (0.753, 0.753, 0.013)
H (0.757, 0.243, 0.500)
Ir (0.500, 0.500, 0.500)

=====

The following is a PBE-GGA calculation of crystalline KCdCoH6 at its relaxed geometry, from Alexandria.

Results
**Electronic total energy**: -3.34 eV per atom

Cell lengths 4.733, 4.733, 5.534 Å; angles 90.00, 90.00, 120.00 degrees
Element x y z (fractional)
K (0.000, 0.000, 0.000)
Cd (0.333, 0.667, 0.500)
Co (0.667, 0.333, 0.500)
H (0.412, 0.085, 0.677)
H (0.412, 0.327, 0.323)
H (0.673, 0.085, 0.323)
H (0.673, 0.588, 0.677)
H (0.915, 0.327, 0.677)
H (0.915, 0.588, 0.323)

=====

The following is a PBE-GGA calculation of crystalline K2CdCoH6 at its relaxed geometry, from Alexandria.

Results
**Electronic total energy**: -3.15 eV per atom

Cell lengths 5.755, 5.755, 5.010 Å; angles 90.00, 90.00, 120.00 degrees
Element x y z (fractional)
K (0.333, 0.667, 0.205)
K (0.667, 0.333, 0.795)
Cd (0.000, 0.000, 0.500)
Co (0.000, 0.000, 0.000)
H (0.136, 0.272, 0.829)
H (0.136, 0.864, 0.829)
H (0.272, 0.136, 0.171)
H (0.728, 0.864, 0.829)
H (0.864, 0.136, 0.171)
H (0.864, 0.728, 0.171)

=====

The following is a PBE-GGA calculation of crystalline LaCdCo2H8 at its relaxed geometry, from Alexandria.

Results
**Electronic total energy**: -4.03 eV per atom

Cell lengths 6.224, 6.224, 6.224 Å; angles 44.15, 44.15, 44.15 degrees
Element x y z (fractional)
La (0.000, 0.000, 0.000)
Cd (0.500, 0.500, 0.500)
Co (0.194, 0.194, 0.194)
Co (0.806, 0.806, 0.806)
H (0.056, 0.904, 0.402)
H (0.096, 0.598, 0.944)
H (0.292, 0.292, 0.292)
H (0.402, 0.056, 0.904)
H (0.598, 0.944, 0.096)
H (0.708, 0.708, 0.708)
H (0.904, 0.402, 0.056)
H (0.944, 0.096, 0.598)

=====

The following is a PBE-GGA calculation of crystalline La2CdCoH at its relaxed geometry, from Alexandria.

Results
**Electronic total energy**: -4.43 eV per atom

Cell lengths 5.327, 5.327, 3.727 Å; angles 90.00, 90.00, 90.00 degrees
Element x y z (fractional)
La (0.000, 0.500, 0.000)
La (0.500, 0.000, 0.000)
Cd (0.000, 0.000, 0.500)
Co (0.500, 0.500, 0.500)
H (0.500, 0.500, 0.000)

=====

The following is a PBE-GGA calculation of crystalline LaCdCoH6 at its relaxed geometry, from Alexandria.

Results
**Electronic total energy**: -3.87 eV per atom

Cell lengths 4.676, 4.676, 4.518 Å; angles 90.00, 90.00, 120.00 degrees
Element x y z (fractional)
La (0.000, 0.000, 0.000)
Cd (0.667, 0.333, 0.500)
Co (0.333, 0.667, 0.500)
H (0.061, 0.531, 0.237)
H (0.061, 0.531, 0.763)
H (0.469, 0.531, 0.237)
H (0.469, 0.531, 0.763)
H (0.469, 0.939, 0.237)
H (0.469, 0.939, 0.763)

=====

The following is a PBE-GGA calculation of crystalline Li2CdCoH6 at its relaxed geometry, from Alexandria.

Results
**Electronic total energy**: -3.34 eV per atom

Cell lengths 4.555, 4.555, 5.101 Å; angles 90.00, 90.00, 120.00 degrees
Element x y z (fractional)
Li (0.333, 0.667, 0.122)
Li (0.667, 0.333, 0.878)
Cd (0.000, 0.000, 0.500)
Co (0.000, 0.000, 0.000)
H (0.167, 0.334, 0.834)
H (0.167, 0.833, 0.834)
H (0.334, 0.167, 0.166)
H (0.666, 0.833, 0.834)
H (0.833, 0.167, 0.166)
H (0.833, 0.666, 0.166)

=====

The following is a PBE-GGA calculation of crystalline MgCdCoH2 at its relaxed geometry, from Alexandria.

Results
**Electronic total energy**: -2.67 eV per atom

Cell lengths 3.653, 3.653, 6.426 Å; angles 90.00, 90.00, 90.00 degrees
Element x y z (fractional)
Mg (0.000, 0.000, 0.000)
Cd (0.000, 0.000, 0.500)
Co (0.500, 0.500, 0.500)
H (0.000, 0.500, 0.000)
H (0.500, 0.000, 0.000)

=====

The following is a PBE-GGA calculation of crystalline MgCdCoH2 at its relaxed geometry, from Alexandria.

Results
**Electronic total energy**: -2.70 eV per atom

Cell lengths 3.702, 3.702, 5.038 Å; angles 90.00, 90.00, 90.00 degrees
Element x y z (fractional)
Mg (0.000, 0.000, 0.000)
Cd (0.500, 0.500, 0.000)
Co (0.500, 0.500, 0.500)
H (0.000, 0.500, 0.500)
H (0.500, 0.000, 0.500)

=====

The following is a PBE-GGA calculation of crystalline MnCdCo2H at its relaxed geometry, from Alexandria.

Results
**Electronic total energy**: -5.39 eV per atom

Cell lengths 3.849, 3.849, 3.779 Å; angles 90.00, 90.00, 90.00 degrees
Element x y z (fractional)
Mn (0.000, 0.000, 0.000)
Cd (0.500, 0.500, 0.000)
Co (0.000, 0.500, 0.500)
Co (0.500, 0.000, 0.500)
H (0.000, 0.000, 0.500)

=====

The following is a PBE-GGA calculation of crystalline Nb2CdCoH at its relaxed geometry, from Alexandria.

Results
**Electronic total energy**: -6.23 eV per atom

Cell lengths 4.129, 4.129, 4.047 Å; angles 90.00, 90.00, 90.00 degrees
Element x y z (fractional)
Nb (0.000, 0.500, 0.000)
Nb (0.500, 0.000, 0.000)
Cd (0.000, 0.000, 0.500)
Co (0.500, 0.500, 0.500)
H (0.500, 0.500, 0.000)

=====

The following is a PBE-GGA calculation of crystalline NbCdCo2H at its relaxed geometry, from Alexandria.

Results
**Electronic total energy**: -3.91 eV per atom

Cell lengths 4.424, 4.424, 5.708 Å; angles 90.00, 90.00, 90.00 degrees
Element x y z (fractional)
Nb (0.000, 0.000, 0.000)
Cd (0.000, 0.000, 0.500)
Co (0.000, 0.500, 0.000)
Co (0.500, 0.000, 0.000)
H (0.500, 0.500, 0.500)

=====

The following is a PBE-GGA calculation of crystalline CdCoNi2H at its relaxed geometry, from Alexandria.

Results
**Electronic total energy**: -4.48 eV per atom

Cell lengths 3.771, 3.771, 3.786 Å; angles 90.00, 90.00, 90.00 degrees
Element x y z (fractional)
Cd (0.000, 0.000, 0.000)
Co (0.500, 0.500, 0.000)
Ni (0.000, 0.500, 0.500)
Ni (0.500, 0.000, 0.500)
H (0.500, 0.500, 0.500)

=====

The following is a PBE-GGA calculation of crystalline Cd2CoHPd at its relaxed geometry, from Alexandria.

Results
**Electronic total energy**: -3.48 eV per atom

Cell lengths 4.652, 4.652, 3.176 Å; angles 90.00, 90.00, 90.00 degrees
Element x y z (fractional)
Cd (0.000, 0.500, 0.000)
Cd (0.500, 0.000, 0.000)
Co (0.000, 0.000, 0.500)
H (0.000, 0.000, 0.000)
Pd (0.500, 0.500, 0.500)

=====

The following is a PBE-GGA calculation of crystalline CdCoH6Pd at its relaxed geometry, from Alexandria.

Results
**Electronic total energy**: -3.63 eV per atom

Cell lengths 4.318, 4.778, 4.915 Å; angles 89.74, 64.90, 63.92 degrees
Element x y z (fractional)
Cd (0.000, 0.000, 0.000)
Co (0.407, 0.340, 0.852)
H (0.091, 0.585, 0.181)
H (0.214, 0.549, 0.665)
H (0.460, 0.063, 0.051)
H (0.462, 0.091, 0.605)
H (0.630, 0.540, 0.750)
H (0.819, 0.102, 0.576)
Pd (0.123, 0.300, 0.446)

=====

The following is a PBE-GGA calculation of crystalline CdCoHPt2 at its relaxed geometry, from Alexandria.

Results
**Electronic total energy**: -4.71 eV per atom

Cell lengths 4.016, 4.016, 4.009 Å; angles 90.00, 90.00, 90.00 degrees
Element x y z (fractional)
Cd (0.000, 0.000, 0.000)
Co (0.500, 0.500, 0.000)
H (0.500, 0.500, 0.500)
Pt (0.000, 0.500, 0.500)
Pt (0.500, 0.000, 0.500)

=====

The following is a PBE-GGA calculation of crystalline Rb2CdCoH6 at its relaxed geometry, from Alexandria.

Results
**Electronic total energy**: -3.11 eV per atom

Cell lengths 6.049, 6.049, 5.015 Å; angles 90.00, 90.00, 120.00 degrees
Element x y z (fractional)
Rb (0.333, 0.667, 0.283)
Rb (0.667, 0.333, 0.717)
Cd (0.000, 0.000, 0.000)
Co (0.000, 0.000, 0.500)
H (0.130, 0.259, 0.672)
H (0.130, 0.870, 0.672)
H (0.259, 0.130, 0.328)
H (0.741, 0.870, 0.672)
H (0.870, 0.130, 0.328)
H (0.870, 0.741, 0.328)

=====

The following is a PBE-GGA calculation of crystalline CdCoHRh2 at its relaxed geometry, from Alexandria.

Results
**Electronic total energy**: -5.14 eV per atom

Cell lengths 4.020, 4.020, 3.820 Å; angles 90.00, 90.00, 90.00 degrees
Element x y z (fractional)
Cd (0.000, 0.000, 0.000)
Co (0.500, 0.500, 0.000)
H (0.500, 0.500, 0.500)
Rh (0.000, 0.500, 0.500)
Rh (0.500, 0.000, 0.500)

=====

The following is a PBE-GGA calculation of crystalline Cd2CoHRh at its relaxed geometry, from Alexandria.

Results
**Electronic total energy**: -3.78 eV per atom

Cell lengths 4.615, 4.615, 3.163 Å; angles 90.00, 90.00, 90.00 degrees
Element x y z (fractional)
Cd (0.000, 0.500, 0.000)
Cd (0.500, 0.000, 0.000)
Co (0.000, 0.000, 0.500)
H (0.000, 0.000, 0.000)
Rh (0.500, 0.500, 0.500)

=====

The following is a PBE-GGA calculation of crystalline Sc2CdCoH at its relaxed geometry, from Alexandria.

Results
**Electronic total energy**: -5.10 eV per atom

Cell lengths 4.661, 4.661, 3.498 Å; angles 90.00, 90.00, 90.00 degrees
Element x y z (fractional)
Sc (0.000, 0.500, 0.000)
Sc (0.500, 0.000, 0.000)
Cd (0.000, 0.000, 0.500)
Co (0.500, 0.500, 0.500)
H (0.500, 0.500, 0.000)